# 1
A relaxed HfAg2GeS crystal, computed with PBE-GGA.

E_form (uncorrected) = 6.35 eV per formula unit
Symmetry = No. 123

a b c (Å): 5.222 5.274 5.222
angles (deg): 90.00 90.00 90.00
Sites, in units of the cell vectors:
S (0.500, 0.500, 0.500)
Hf (0.000, 0.000, 0.000)
Ge (0.000, 0.500, 0.000)
Ag (0.500, 0.000, 0.000)
Ag (0.000, 0.000, 0.500)

***

# 2
A relaxed HfTaAgGe2 crystal, computed with PBE-GGA.

Formation energy from the elements = 1406 meV per atom
Symmetry = No. 123

a b c (Å): 4.941 5.045 4.941
angles (deg): 90.00 90.00 90.00
Sites, in units of the cell vectors:
Ta (0.500, 0.500, 0.500)
Ag (0.000, 0.500, 0.000)
Ge (0.000, 0.000, 0.500)
Hf (0.000, 0.000, 0.000)
Ge (0.500, 0.000, 0.000)

***

# 3
A relaxed HfVAg2Ge crystal, computed with PBE-GGA.

Formation energy from the elements = 839 meV per atom
Symmetry = No. 123

a b c (Å): 4.756 5.053 4.756
angles (deg): 90.00 90.00 90.00
Sites, in units of the cell vectors:
Ag (0.000, 0.000, 0.500)
Hf (0.000, 0.500, 0.000)
Ge (0.000, 0.000, 0.000)
V (0.500, 0.500, 0.500)
Ag (0.500, 0.000, 0.000)

***

# 4
A relaxed HfAg2GeW crystal, computed with PBE-GGA.

Formation energy from the elements = 1881 meV per atom
Symmetry = No. 123

a b c (Å): 5.053 5.012 5.053
angles (deg): 90.00 90.00 90.00
Sites, in units of the cell vectors:
Hf (0.000, 0.000, 0.000)
W (0.500, 0.500, 0.500)
Ag (0.000, 0.000, 0.500)
Ge (0.000, 0.500, 0.000)
Ag (0.500, 0.000, 0.000)

***

# 5
A relaxed HfZnAg2Ge crystal, computed with PBE-GGA.

Formation energy from the elements = 615 meV per atom
Symmetry = No. 123

a b c (Å): 4.665 5.107 4.665
angles (deg): 90.00 90.00 90.00
Sites, in units of the cell vectors:
Zn (0.000, 0.000, 0.000)
Ag (0.500, 0.000, 0.000)
Ag (0.000, 0.000, 0.500)
Hf (0.000, 0.500, 0.000)
Ge (0.500, 0.500, 0.500)

***

# 6
A relaxed AgHg2Ge crystal, computed with PBE-GGA.

Formation energy from the elements = 262 meV per atom
Symmetry = No. 166

a b c (Å): 3.086 3.086 11.230
angles (deg): 82.10 82.10 60.00
Sites, in units of the cell vectors:
Hg (0.915, 0.915, 0.256)
Ge (0.500, 0.500, 0.500)
Ag (0.000, 0.000, 0.000)
Hg (0.085, 0.085, 0.744)

***

# 7
A relaxed AgHgGe crystal, computed with PBE-GGA.

Formation energy from the elements = 212 meV per atom
Symmetry = No. 156

a b c (Å): 3.018 3.018 7.923
angles (deg): 90.00 90.00 120.00
Sites, in units of the cell vectors:
Hg (0.000, 0.000, 0.985)
Ge (0.667, 0.333, 0.360)
Ag (0.333, 0.667, 0.654)

***

# 8
A relaxed Ag2Hg2Ge crystal, computed with PBE-GGA.

Formation energy from the elements = 261 meV per atom
Symmetry = No. 139

a b c (Å): 3.890 3.890 7.871
angles (deg): 75.70 75.70 90.00
Sites, in units of the cell vectors:
Ag (0.250, 0.750, 0.500)
Ag (0.750, 0.250, 0.500)
Hg (0.600, 0.600, 0.800)
Ge (0.000, 0.000, 0.000)
Hg (0.400, 0.400, 0.200)

***

# 9
A relaxed AgHg2Ge2 crystal, computed with PBE-GGA.

Formation energy from the elements = 224 meV per atom
Symmetry = No. 127

a b c (Å): 6.930 6.930 4.612
angles (deg): 90.00 90.00 90.00
Sites, in units of the cell vectors:
Hg (0.683, 0.817, 0.500)
Hg (0.817, 0.317, 0.500)
Ge (0.864, 0.636, 0.000)
Ag (0.000, 0.000, 0.000)
Hg (0.317, 0.183, 0.500)
Ag (0.500, 0.500, 0.000)
Ge (0.636, 0.136, 0.000)
Ge (0.364, 0.864, 0.000)
Hg (0.183, 0.683, 0.500)
Ge (0.136, 0.364, 0.000)

***

# 10
A relaxed AgHg2Ge2 crystal, computed with PBE-GGA.

Formation energy from the elements = 396 meV per atom
Symmetry = No. 139

a b c (Å): 4.283 4.283 7.086
angles (deg): 72.41 72.41 90.00
Sites, in units of the cell vectors:
Ge (0.597, 0.597, 0.806)
Hg (0.750, 0.250, 0.500)
Ag (0.000, 0.000, 0.000)
Ge (0.403, 0.403, 0.194)
Hg (0.250, 0.750, 0.500)

***

# 11
A relaxed Ag2Hg2Ge crystal, computed with PBE-GGA.

Formation energy from the elements = 227 meV per atom
Symmetry = No. 127

a b c (Å): 7.878 7.878 3.429
angles (deg): 90.00 90.00 90.00
Sites, in units of the cell vectors:
Ag (0.630, 0.130, 0.000)
Ag (0.870, 0.630, 0.000)
Ge (0.500, 0.500, 0.000)
Ge (0.000, 0.000, 0.000)
Hg (0.170, 0.670, 0.500)
Hg (0.330, 0.170, 0.500)
Hg (0.670, 0.830, 0.500)
Ag (0.370, 0.870, 0.000)
Ag (0.130, 0.370, 0.000)
Hg (0.830, 0.330, 0.500)

***

# 12
A relaxed AgHg2Ge crystal, computed with PBE-GGA.

Formation energy from the elements = 240 meV per atom
Symmetry = No. 122

a b c (Å): 4.261 4.261 10.549
angles (deg): 78.35 78.35 90.00
Sites, in units of the cell vectors:
Hg (0.375, 0.372, 0.750)
Hg (0.122, 0.625, 0.250)
Hg (0.628, 0.125, 0.250)
Ag (0.750, 0.250, 0.500)
Ge (0.500, 0.500, 0.000)
Hg (0.875, 0.878, 0.750)
Ag (0.000, 0.000, 0.000)
Ge (0.250, 0.750, 0.500)

***

no.,total magnetization (μB/f.u.),Fermi-level density of states (states/eV per cell)
1,0.0,7.42
2,0.0,7.73
3,3.2,5.89
4,3.0,3.99
5,0.0,3.14
6,0.0,1.60
7,0.0,0.90
8,0.0,2.24
9,0.0,5.29
10,0.0,1.61
11,0.0,2.13
12,0.0,3.58